LiTaAg2 (PBE-GGA, optimized geometry); formation energy from the elements = 0.223 eV per atom; E_tot = -0.1707 hartree per atom; symmetry = P4mm (99); energy above the most stable polymorph in this dataset = 0.34 eV/f.u.; size of the total moment = 0.000 Bohr magnetons per cell
1.0
-1.549 1.664 1.655
-2.244 -0.472 -1.626
-2.115 -6.850 4.908
Ag Li Ta
2 1 1
Direct
0.000 0.000 0.006
0.500 0.500 0.261
0.000 0.000 0.484
0.500 0.500 0.749

=====

LiTaAg2 (PBE-GGA, optimized geometry); formation energy from the elements = 0.149 eV per atom; E_tot = -0.1734 hartree per atom; symmetry = R-3m (166); energy above the most stable polymorph in this dataset = 0.04 eV/f.u.; size of the total moment = 0.000 Bohr magnetons per cell
1.0
-2.466 6.385 6.859
-5.006 6.225 5.485
-4.341 4.288 7.528
Ag Li Ta
2 1 1
Direct
0.997 0.997 0.997
0.503 0.503 0.503
0.250 0.250 0.250
0.750 0.750 0.750

=====

LiTaAg2 (PBE-GGA, optimized geometry); formation energy from the elements = 0.145 eV per atom; E_tot = -0.1736 hartree per atom; symmetry = Cmmm (65); energy above the most stable polymorph in this dataset = 0.03 eV/f.u.; size of the total moment = 0.000 Bohr magnetons per cell
1.0
2.787 -0.003 0.000
-0.877 2.645 0.000
0.000 0.000 9.321
Ag Li Ta
2 1 1
Direct
0.000 0.000 0.011
0.000 0.000 0.489
0.500 0.500 0.250
0.500 0.500 0.750

=====

Li3TaAg (PBE-GGA, optimized geometry); formation energy from the elements = 0.978 eV per atom; E_tot = -0.1143 hartree per atom; symmetry = Pm-3m (221); energy above the most stable polymorph in this dataset = 0.00 eV/f.u.; size of the total moment = 0.000 Bohr magnetons per cell
1.0
-1.228 -4.140 -1.139
0.965 -1.421 4.123
-4.184 0.888 1.285
Li Ag Ta
3 1 1
Direct
0.000 0.500 0.000
0.000 0.000 0.500
0.500 0.000 0.000
0.000 0.000 0.000
0.500 0.500 0.500

=====

LiTaAg3 (PBE-GGA, optimized geometry); formation energy from the elements = 0.776 eV per atom; E_tot = -0.1356 hartree per atom; symmetry = Pm-3m (221); energy above the most stable polymorph in this dataset = 0.00 eV/f.u.; size of the total moment = 1.608 Bohr magnetons per cell
1.0
-1.663 0.071 -4.097
-2.635 -3.404 1.010
-3.138 2.822 1.322
Li Ag Ta
1 3 1
Direct
0.000 0.000 0.000
0.000 0.500 0.000
0.000 0.000 0.500
0.500 0.000 0.000
0.500 0.500 0.500

=====

LiTaAg2 (PBE-GGA, optimized geometry); formation energy from the elements = 0.137 eV per atom; E_tot = -0.1738 hartree per atom; symmetry = P4/mmm (123); energy above the most stable polymorph in this dataset = 0.00 eV/f.u.; size of the total moment = 0.000 Bohr magnetons per cell
1.0
2.843 0.000 0.000
0.000 2.843 0.000
0.000 0.000 8.281
Ag Li Ta
2 1 1
Direct
0.000 0.000 0.016
0.000 0.000 0.484
0.500 0.500 0.250
0.500 0.500 0.750

=====

LiTaAg2 (PBE-GGA, optimized geometry); formation energy from the elements = 0.437 eV per atom; E_tot = -0.1628 hartree per atom; symmetry = Immm (71); energy above the most stable polymorph in this dataset = 1.20 eV/f.u.; size of the total moment = 0.000 Bohr magnetons per cell
1.0
-3.334 -2.854 3.345
1.468 -5.139 1.376
0.966 5.433 0.084
Ag Li Ta
2 1 1
Direct
0.022 0.022 0.000
0.478 0.478 0.000
0.250 0.750 0.500
0.750 0.250 0.500

=====

LiTaAg4 (PBE-GGA, optimized geometry); formation energy from the elements = 0.490 eV per atom; E_tot = -0.1362 hartree per atom; symmetry = F-43m (216); size of the total moment = 0.000 Bohr magnetons per cell
1.0
-0.106 1.216 5.257
-4.713 0.925 2.461
-1.933 -3.569 3.557
Li Ta Ag
1 1 4
Direct
0.750 0.750 0.750
0.000 0.000 0.000
0.875 0.375 0.375
0.375 0.375 0.875
0.375 0.875 0.375
0.375 0.375 0.375

=====

LiTaAg (PBE-GGA, optimized geometry); formation energy from the elements = 0.425 eV per atom; E_tot = -0.1880 hartree per atom; symmetry = Imm2 (44); energy above the most stable polymorph in this dataset = 0.56 eV/f.u.; size of the total moment = 0.000 Bohr magnetons per cell
1.0
-1.606 3.008 3.579
1.797 -0.769 4.541
0.864 1.191 -4.720
Ag Li Ta
1 1 1
Direct
0.999 0.999 0.000
0.336 0.336 0.000
0.664 0.664 0.000

=====

LiTaAg (PBE-GGA, optimized geometry); formation energy from the elements = 1.223 eV per atom; E_tot = -0.1586 hartree per atom; symmetry = F-43m (216); energy above the most stable polymorph in this dataset = 2.95 eV/f.u.; size of the total moment = 0.000 Bohr magnetons per cell
1.0
4.385 0.000 0.000
2.192 3.797 0.000
2.192 1.266 3.580
Ag Li Ta
1 1 1
Direct
0.000 0.000 0.000
0.500 0.500 0.500
0.750 0.750 0.750

=====

LiTaAg2 (PBE-GGA, optimized geometry); formation energy from the elements = 0.369 eV per atom; E_tot = -0.1653 hartree per atom; symmetry = Fm-3m (225); energy above the most stable polymorph in this dataset = 0.93 eV/f.u.; size of the total moment = 0.000 Bohr magnetons per cell
1.0
-2.213 -3.985 -0.340
-4.112 -0.168 -1.988
-0.486 -2.004 -4.079
Li Ag Ta
1 2 1
Direct
0.000 0.000 0.000
0.250 0.250 0.250
0.750 0.750 0.750
0.500 0.500 0.500

=====

LiTaAg2 (PBE-GGA, optimized geometry); formation energy from the elements = 0.181 eV per atom; E_tot = -0.1722 hartree per atom; symmetry = Pmm2 (25); energy above the most stable polymorph in this dataset = 0.18 eV/f.u.; size of the total moment = 0.000 Bohr magnetons per cell
1.0
4.925 0.000 0.000
0.000 2.757 -0.003
0.000 0.004 5.110
Ag Li Ta
2 1 1
Direct
0.000 0.126 0.932
0.500 0.125 0.323
0.000 0.625 0.422
0.500 0.625 0.823